TlInH: optimized geometry, PBE.

## Properties
Calculated total energy in eV per atom: -2.776
Symmetry: C2/m
ρ in Mg/m³: 7.2
Volume in Å³/atom: 24.461
E above lowest polymorph in meV per atom: 6

a = 4.4821 Å, b = 3.2963 Å, c = 13.7340 Å
α = 84.65°, β = 80.61°, γ = 47.17°
With the nearest neighbours (Å) after each atom.
Element x y z (fractional)
H: 0.0135 0.0010 0.9721  1 H 0.76
H: 0.9865 0.9990 0.0279  1 H 0.76
Tl: 0.6395 0.9441 0.7769  4 Tl 3.30, 4 In 3.41-3.61, 4 H 3.47-3.63
Tl: 0.3605 0.0559 0.2231  4 Tl 3.30, 4 In 3.41-3.61, 4 H 3.47-3.63
In: 0.2228 0.9668 0.5876  8 In 3.23-3.55, 4 Tl 3.41-3.61
In: 0.7772 0.0332 0.4124  8 In 3.23-3.55, 4 Tl 3.41-3.61